Compound: AlCuNi
Source: the Alexandria database
Functional: PBE
Structure: optimized geometry

## Properties
Fermi-level density of states   1.2 states/eV per cell
DFT total energy   -14.39 eV for the cell shown

abc: 4.050 4.050 2.610
angles: 90.00 90.00 120.00
Atoms (fractional coordinates):
Al1 0.000 0.000 0.000
Cu1 0.667 0.333 0.000
Ni1 0.333 0.667 0.500

---

Compound: PrThNi2
Source: the Alexandria database
Functional: PBE
Structure: optimized geometry

## Properties
Fermi-level density of states   4.0 states/eV per cell
DFT total energy   -25.22 eV for the cell shown

abc: 3.729 4.255 5.908
angles: 90.00 108.21 90.00
Atoms (fractional coordinates):
Pr1 0.000 0.000 0.000
Th1 0.737 0.500 0.468
Ni1 0.277 0.000 0.547
Ni2 0.426 0.500 0.851

---

Compound: LiMn2Fe
Source: the Alexandria database
Functional: PBE
Structure: optimized geometry

## Properties
Fermi-level density of states   3.3 states/eV per cell
DFT total energy   -27.59 eV for the cell shown

abc: 3.492 3.617 3.725
angles: 90.00 90.00 90.00
Atoms (fractional coordinates):
Li1 0.000 0.000 0.000
Mn1 0.000 0.500 0.500
Mn2 0.500 0.000 0.500
Fe1 0.500 0.500 0.000

---

Compound: CsK2Se6
Source: the Alexandria database
Functional: PBE
Structure: optimized geometry

## Properties
Raw formation energy   -0.653 eV per atom
Fermi-level density of states   3.5 states/eV per cell

abc: 8.387 8.387 4.806
angles: 95.34 95.34 70.74
Atoms (fractional coordinates):
Cs1 0.000 0.000 0.000
K1 0.341 0.341 0.882
K2 0.639 0.639 0.062
Se1 0.049 0.572 0.336
Se2 0.296 0.680 0.475
Se3 0.403 0.931 0.605
Se4 0.572 0.049 0.336
Se5 0.680 0.296 0.475
Se6 0.931 0.403 0.605

---

Compound: GeCF
Source: the Alexandria database
Functional: PBE
Structure: optimized geometry

## Properties
Raw formation energy   -0.201 eV per atom
Fermi-level density of states   1.0 states/eV per cell

abc: 3.345 3.345 4.119
angles: 90.00 90.00 120.00
Atoms (fractional coordinates):
Ge1 0.000 0.000 0.000
C1 0.667 0.333 0.000
F1 0.000 0.000 0.500

---

Compound: LaCePm6Ho2
Source: the Alexandria database
Functional: PBE
Structure: optimized geometry

## Properties
Fermi-level density of states   23.4 states/eV per cell
DFT total energy   -46.19 eV for the cell shown

abc: 6.653 6.653 9.008
angles: 101.58 101.58 62.27
Atoms (fractional coordinates):
La1 0.000 0.000 0.000
Ce1 0.500 0.500 0.500
Pm1 0.069 0.594 0.696
Pm2 0.368 0.368 0.082
Pm3 0.406 0.931 0.304
Pm4 0.594 0.069 0.696
Pm5 0.632 0.632 0.918
Pm6 0.931 0.406 0.304
Ho1 0.092 0.092 0.659
Ho2 0.908 0.908 0.341

---

Compound: Dy12Bi3N5
Source: the Alexandria database
Functional: PBE
Structure: optimized geometry

## Properties
Raw formation energy   -0.927 eV per atom
Fermi-level density of states   65.1 states/eV per cell

abc: 13.634 13.634 13.634
angles: 109.47 109.47 109.47
Atoms (fractional coordinates):
Dy1 0.006 0.193 0.106
Dy2 0.006 0.312 0.900
Dy3 0.088 0.693 0.688
Dy4 0.088 0.894 0.400
Dy5 0.100 0.606 0.412
Dy6 0.100 0.994 0.688
Dy7 0.106 0.006 0.193
Dy8 0.106 0.600 0.912
Dy9 0.188 0.193 0.588
Dy10 0.188 0.494 0.600
Dy11 0.193 0.106 0.006
Dy12 0.193 0.588 0.188
Dy13 0.307 0.312 0.912
Dy14 0.307 0.494 0.394
Dy15 0.312 0.900 0.006
Dy16 0.312 0.912 0.307
Dy17 0.394 0.307 0.494
Dy18 0.394 0.588 0.900
Dy19 0.400 0.088 0.894
Dy20 0.400 0.812 0.506
Dy21 0.412 0.100 0.606
Dy22 0.412 0.812 0.807
Dy23 0.494 0.394 0.307
Dy24 0.494 0.600 0.188
Dy25 0.506 0.400 0.812
Dy26 0.506 0.606 0.693
Dy27 0.588 0.188 0.193
Dy28 0.588 0.900 0.394
Dy29 0.600 0.188 0.494
Dy30 0.600 0.912 0.106
Dy31 0.606 0.412 0.100
Dy32 0.606 0.693 0.506
Dy33 0.688 0.088 0.693
Dy34 0.688 0.100 0.994
Dy35 0.693 0.506 0.606
Dy36 0.693 0.688 0.088
Dy37 0.807 0.412 0.812
Dy38 0.807 0.894 0.994
Dy39 0.812 0.506 0.400
Dy40 0.812 0.807 0.412
Dy41 0.894 0.400 0.088
Dy42 0.894 0.994 0.807
Dy43 0.900 0.006 0.312
Dy44 0.900 0.394 0.588
Dy45 0.912 0.106 0.600
Dy46 0.912 0.307 0.312
Dy47 0.994 0.688 0.100
Dy48 0.994 0.807 0.894
Bi1 0.125 0.250 0.375
Bi2 0.125 0.375 0.750
Bi3 0.250 0.375 0.125
Bi4 0.250 0.875 0.625
Bi5 0.375 0.125 0.250
Bi6 0.375 0.750 0.125
Bi7 0.625 0.250 0.875
Bi8 0.625 0.875 0.750
Bi9 0.750 0.125 0.375
Bi10 0.750 0.625 0.875
Bi11 0.875 0.625 0.250
Bi12 0.875 0.750 0.625
N1 0.000 0.000 0.000
N2 0.000 0.000 0.500
N3 0.000 0.500 0.000
N4 0.000 0.500 0.500
N5 0.125 0.750 0.875
N6 0.125 0.875 0.250
N7 0.250 0.125 0.875
N8 0.250 0.625 0.375
N9 0.375 0.250 0.625
N10 0.375 0.625 0.750
N11 0.500 0.000 0.000
N12 0.500 0.000 0.500
N13 0.500 0.500 0.000
N14 0.500 0.500 0.500
N15 0.625 0.375 0.250
N16 0.625 0.750 0.375
N17 0.750 0.375 0.625
N18 0.750 0.875 0.125
N19 0.875 0.125 0.750
N20 0.875 0.250 0.125

---

Compound: LiAcTbRu
Source: the Alexandria database
Functional: PBE
Structure: optimized geometry

## Properties
Fermi-level density of states   2.7 states/eV per cell
DFT total energy   -20.37 eV for the cell shown

abc: 5.140 5.140 5.140
angles: 60.00 60.00 60.00
Atoms (fractional coordinates):
Li1 0.000 0.000 0.000
Ac1 0.750 0.750 0.750
Tb1 0.250 0.250 0.250
Ru1 0.500 0.500 0.500